(1)
NaPtSO6: optimized geometry, PBE-GGA.

POSCAR file:
```
NaPtSO6
1.0
4.9293 0.0000 0.0001
2.4647 4.2689 0.0000
0.0001 -0.0001 5.1719
O Na Pt S
6 1 1 1
direct
0.0482 0.3476 0.3098 O
0.6041 0.3476 0.6902 O
0.6041 0.0482 0.3098 O
0.3476 0.6042 0.3098 O
0.0482 0.6042 0.6902 O
0.3476 0.0482 0.6902 O
0.0000 0.0000 0.0000 Na
0.6667 0.6667 0.5000 Pt
0.3333 0.3333 0.5000 S
```

Properties
**D(E_F)**: 5.6 states/eV/f.u.
**E_form (uncorrected)**: -19.4 kcal/mol of atoms

---

(2)
NaPtS2O8: optimized geometry, PBE-GGA.

POSCAR file:
```
NaPtS2O8
1.0
-1.6901 -1.6847 4.4053
2.5149 -3.7417 2.1856
4.1620 5.1322 3.1285
O S Pt Na
8 2 1 1
direct
0.7035 0.2277 0.7885 O
0.2700 0.2700 0.6092 O
0.7300 0.7300 0.3908 O
0.2277 0.7035 0.7885 O
0.7319 0.7319 0.0498 O
0.2965 0.7723 0.2115 O
0.7723 0.2965 0.2115 O
0.2681 0.2681 0.9502 O
0.6434 0.6434 0.2146 S
0.3566 0.3566 0.7854 S
0.0000 0.0000 0.0000 Pt
0.0000 0.0000 0.5000 Na
```

Properties
**D(E_F)**: 0.0 states/eV/f.u.
**E_form (uncorrected)**: -26.9 kcal/mol of atoms

---

(3)
NaSbPtO4: optimized geometry, PBE-GGA.

POSCAR file:
```
NaSbPtO4
1.0
-3.6390 -1.9820 4.4114
0.2511 -3.9225 -5.7070
4.7643 -0.4337 3.7352
O Sb Pt Na
8 2 2 2
direct
0.7404 0.0453 0.7726 O
0.3049 0.0453 0.7726 O
0.6911 0.3822 0.2319 O
0.6951 0.9547 0.2274 O
0.3089 0.6178 0.3497 O
0.2596 0.9547 0.2274 O
0.6911 0.3822 0.6503 O
0.3089 0.6178 0.7681 O
0.5000 0.0000 0.0000 Sb
0.5000 0.0000 0.5000 Sb
0.0000 0.5000 0.5000 Pt
0.5000 0.5000 0.5000 Pt
0.1615 0.3229 0.9115 Na
0.8385 0.6771 0.0885 Na
```

Properties
**E_form (uncorrected)**: -26.4 kcal/mol of atoms

---

(4)
Na3Sc3PtO8: optimized geometry, PBE-GGA.

POSCAR file:
```
Na3Sc3PtO8
1.0
-1.6764 5.4036 2.7987
-2.3870 -1.5025 -5.6469
-2.0581 -3.3827 5.2985
Na O Sc Pt
3 8 3 1
direct
0.0000 0.5000 0.0000 Na
0.5000 0.5000 0.0000 Na
0.0000 0.0000 0.0000 Na
0.7717 0.0291 0.3009 O
0.2283 0.4566 0.6991 O
0.2672 0.5344 0.3016 O
0.7426 0.9709 0.6991 O
0.2574 0.0291 0.3009 O
0.7328 0.4656 0.6984 O
0.7717 0.5434 0.3009 O
0.2283 0.9709 0.6991 O
0.5000 0.5000 0.5000 Sc
0.0000 0.5000 0.5000 Sc
0.5000 0.0000 0.5000 Sc
0.0000 0.0000 0.5000 Pt
```

Properties
**D(E_F)**: 0.0 states/eV/f.u.
**E_form (uncorrected)**: -55.3 kcal/mol of atoms

---

(5)
NaSc2PtO4: optimized geometry, PBE-GGA.

POSCAR file:
```
NaSc2PtO4
1.0
-5.2669 -0.9964 -3.0718
4.8741 -3.5449 1.3588
1.4544 0.2216 6.0004
Pt Na O Sc
1 1 4 2
direct
0.0000 0.5000 0.5000 Pt
0.0000 0.0000 0.0000 Na
0.0000 0.1063 0.5937 O
0.4874 0.8937 0.8937 O
0.5126 0.4063 0.4063 O
0.0000 0.5937 0.1063 O
0.5000 0.7500 0.2500 Sc
0.5000 0.2500 0.7500 Sc
```

Properties
**D(E_F)**: 5.3 states/eV/f.u.
**E_form (uncorrected)**: -47.8 kcal/mol of atoms

---

(6)
NaSc4Pt3O12: optimized geometry, PBE-GGA.

POSCAR file:
```
NaSc4Pt3O12
1.0
-4.9849 -4.6159 -0.5981
2.8389 1.0841 -6.1056
4.7341 -2.3145 4.3296
O Sc Pt Na
12 4 3 1
direct
0.8274 0.1444 0.3170 O
0.1726 0.8556 0.6830 O
0.6830 0.1726 0.8556 O
0.8274 0.5104 0.6830 O
0.8556 0.6830 0.1726 O
0.1444 0.3170 0.8274 O
0.3170 0.8274 0.1444 O
0.1726 0.4896 0.3170 O
0.6830 0.8274 0.5104 O
0.4896 0.3170 0.1726 O
0.3170 0.1726 0.4896 O
0.5104 0.6830 0.8274 O
0.5000 0.0000 0.0000 Sc
0.0000 0.0000 0.5000 Sc
0.0000 0.5000 0.0000 Sc
0.5000 0.5000 0.5000 Sc
0.0000 0.5000 0.5000 Pt
0.5000 0.0000 0.5000 Pt
0.5000 0.5000 0.0000 Pt
0.0000 0.0000 0.0000 Na
```

Properties
**D(E_F)**: 18.1 states/eV/f.u.
**E_form (uncorrected)**: -45.6 kcal/mol of atoms

---

(7)
NaSc2PtO: optimized geometry, PBE-GGA.

POSCAR file:
```
NaSc2PtO
1.0
-0.0189 0.4551 5.1593
-1.0884 -4.0949 0.3572
5.0068 -1.3190 0.1346
Pt Sc Na O
1 2 1 1
direct
0.0000 0.0000 0.0000 Pt
0.0000 0.0000 0.5000 Sc
0.5000 0.0000 0.0000 Sc
0.5000 0.5000 0.5000 Na
0.0000 0.5000 0.0000 O
```

Properties
**D(E_F)**: 5.2 states/eV/f.u.
**E_form (uncorrected)**: 0.2 kcal/mol of atoms

---

(8)
Na2ScPtO4: optimized geometry, PBE-GGA.

POSCAR file:
```
Na2ScPtO4
1.0
-1.4435 2.3085 1.5855
2.1187 -2.0141 4.8613
3.5798 3.9869 -2.5455
O Pt Sc Na
4 1 1 2
direct
0.0000 0.7064 0.2291 O
0.0000 0.2936 0.7709 O
0.5000 0.7698 0.8086 O
0.5000 0.2302 0.1914 O
0.0000 0.0000 0.0000 Pt
0.5000 0.5000 0.0000 Sc
0.5000 0.0000 0.5000 Na
0.0000 0.5000 0.5000 Na
```

Properties
**D(E_F)**: 0.3 states/eV/f.u.
**E_form (uncorrected)**: -41.3 kcal/mol of atoms

---

(9)
Na4Sc3PtO8: optimized geometry, PBE-GGA.

POSCAR file:
```
Na4Sc3PtO8
1.0
6.2653 0.0000 0.0000
0.0000 6.5565 0.1637
-3.1326 -3.1521 4.6243
Sc O Na Pt
3 8 4 1
direct
0.0000 0.5000 0.5000 Sc
0.5000 0.5000 0.0000 Sc
0.5000 0.5000 0.5000 Sc
0.7294 0.7011 0.4588 O
0.2285 0.7027 0.9655 O
0.2603 0.7262 0.5206 O
0.2706 0.2989 0.5412 O
0.7369 0.7027 0.9655 O
0.2631 0.2973 0.0345 O
0.7715 0.2973 0.0345 O
0.7397 0.2738 0.4794 O
0.5000 0.0000 0.0000 Na
0.0000 0.0000 0.0000 Na
0.0000 0.0000 0.5000 Na
0.5000 0.0000 0.5000 Na
0.0000 0.5000 0.0000 Pt
```

Properties
**D(E_F)**: 0.4 states/eV/f.u.
**E_form (uncorrected)**: -53.4 kcal/mol of atoms

---

(10)
NaPtSeO6: optimized geometry, PBE-GGA.

POSCAR file:
```
NaPtSeO6
1.0
5.0825 0.0000 0.0000
2.5413 4.4016 0.0001
0.0001 -0.0001 5.2320
O Se Pt Na
6 1 1 1
direct
0.0225 0.6200 0.7004 O
0.6200 0.0226 0.2996 O
0.3574 0.6200 0.2995 O
0.3574 0.0226 0.7004 O
0.0225 0.3575 0.2995 O
0.6200 0.3575 0.7004 O
0.3333 0.3333 0.5000 Se
0.6666 0.6667 0.5000 Pt
0.0000 0.0000 0.0000 Na
```

Properties
**D(E_F)**: 5.8 states/eV/f.u.
**E_form (uncorrected)**: -17.0 kcal/mol of atoms

---

(11)
NaPtSeO5: optimized geometry, PBE-GGA.

POSCAR file:
```
NaPtSeO5
1.0
-0.5408 -6.0204 0.6002
1.9661 1.4438 5.5631
-6.5288 1.3583 1.2550
Se O Pt Na
2 10 2 2
direct
0.7194 0.2806 0.2500 Se
0.2806 0.7194 0.7500 Se
0.2709 0.5093 0.5747 O
0.6956 0.0288 0.3566 O
0.0288 0.6956 0.8566 O
0.0975 0.9025 0.2500 O
0.5093 0.2709 0.0747 O
0.9712 0.3044 0.1434 O
0.3044 0.9712 0.6434 O
0.7291 0.4907 0.4253 O
0.9025 0.0975 0.7500 O
0.4907 0.7291 0.9253 O
0.0000 0.0000 0.0000 Pt
0.0000 0.0000 0.5000 Pt
0.6346 0.3654 0.7500 Na
0.3654 0.6346 0.2500 Na
```

Properties
**D(E_F)**: 3.5 states/eV/f.u.
**E_form (uncorrected)**: -18.6 kcal/mol of atoms

---

(12)
Na2PtSe2O6: optimized geometry, PBE-GGA.

POSCAR file:
```
Na2PtSe2O6
1.0
-0.4143 5.0406 -1.9908
4.2390 -4.0309 -3.6686
-9.3904 0.4273 3.0361
O Se Pt Na
6 2 1 2
direct
0.3054 0.6107 0.7149 O
0.7036 0.9016 0.2981 O
0.2964 0.0984 0.7019 O
0.1980 0.9016 0.2981 O
0.8020 0.0984 0.7019 O
0.6946 0.3893 0.2851 O
0.1002 0.2004 0.4026 Se
0.8998 0.7996 0.5974 Se
0.5000 0.0000 0.5000 Pt
0.3580 0.7160 0.0029 Na
0.6420 0.2840 0.9971 Na
```

Properties
**D(E_F)**: 0.0 states/eV/f.u.
**E_form (uncorrected)**: -24.3 kcal/mol of atoms

---

Q: Which value of E_form (uncorrected) does entry 6 give?
A: -45.6 kcal/mol of atoms